[1]
A geometry-optimized Ti2Zn3Au2 structure, computed with PBE. Values from VASP.

```
&SYSTEM
  ibrav = 0, nat = 7, ntyp = 3
/
ATOMIC_SPECIES
Ti 47.87 Ti.upf
Zn 65.41 Zn.upf
Au 196.97 Au.upf
CELL_PARAMETERS angstrom
3.929 -2.310 0.000
3.929 2.310 0.000
-3.724 0.000 6.352
ATOMIC_POSITIONS crystal
Ti 0.066 0.066 0.340
Ti 0.934 0.934 0.660
Zn 0.271 0.271 0.102
Zn 0.500 0.500 0.500
Zn 0.729 0.729 0.898
Au 0.330 0.330 0.773
Au 0.670 0.670 0.227
```

Results
- Final energy: -3.951 eV/atom
- Formation enthalpy at 0 K: -0.21 eV/atom
- Density of states at the Fermi level: 3.9 states/eV/cell

=====

[2]
A geometry-optimized Ti2ZnAu6 structure, computed with PBE. Values from VASP.

```
&SYSTEM
  ibrav = 0, nat = 9, ntyp = 3
/
ATOMIC_SPECIES
Ti 47.87 Ti.upf
Zn 65.41 Zn.upf
Au 196.97 Au.upf
CELL_PARAMETERS angstrom
-2.398 3.900 4.285
2.398 -3.900 4.285
2.398 3.900 -4.285
ATOMIC_POSITIONS crystal
Ti 0.167 0.167 0.000
Ti 0.833 0.833 0.000
Zn 0.500 0.500 0.000
Au 0.017 0.334 0.683
Au 0.314 0.000 0.314
Au 0.348 0.666 0.683
Au 0.652 0.334 0.317
Au 0.686 0.000 0.686
Au 0.983 0.666 0.317
```

Results
- Distance to the lowest polymorph of the same formula: 168.7 meV/atom
- Final energy: -4.223 eV/atom
- Formation enthalpy at 0 K: -0.14 eV/atom
- Density of states at the Fermi level: 6.9 states/eV/cell

=====

[3]
A geometry-optimized Ti2ZnAu structure, computed with PBE. Values from VASP.

```
&SYSTEM
  ibrav = 0, nat = 8, ntyp = 3
/
ATOMIC_SPECIES
Ti 47.87 Ti.upf
Zn 65.41 Zn.upf
Au 196.97 Au.upf
CELL_PARAMETERS angstrom
-3.707 3.707 2.560
3.707 -3.707 2.560
3.707 3.707 -2.560
ATOMIC_POSITIONS crystal
Ti 0.123 0.125 0.498
Ti 0.375 0.877 0.002
Ti 0.627 0.625 0.502
Ti 0.875 0.373 0.998
Zn 0.250 0.750 0.500
Zn 0.500 0.500 0.000
Au 0.000 0.000 0.000
Au 0.750 0.250 0.500
```

Results
- Final energy: -4.970 eV/atom
- Formation enthalpy at 0 K: 0.12 eV/atom
- Density of states at the Fermi level: 9.4 states/eV/cell